# 1
8
Lattice="4.319 0.000 0.000 0.000 4.319 0.000 0.000 0.000 8.634" Properties=species:S:1:pos:R:3 comment="ZnHg2P, optimized geometry, DFT PBE" formation_energy_mev_per_atom=417 e_tot_ev_per_atom=-1.404 magnetic_moment_mub_per_fu=0.0 polymorph_energy_kj_per_mol_fu=145.6 spacegroup="I-4m2 (119)" pbc="T T T"
Zn 0.000 0.000 0.000
Zn 2.160 2.160 4.317
Hg 0.000 0.000 4.317
Hg 0.000 2.160 6.475
Hg 2.160 0.000 2.158
Hg 2.160 2.160 0.000
P 0.000 2.160 2.158
P 2.160 0.000 6.475

=====

# 2
4
Lattice="4.246 0.000 0.000 0.000 3.685 0.000 -1.363 0.000 5.278" Properties=species:S:1:pos:R:3 comment="ZnHgP2, optimized geometry, DFT PBE" formation_energy_mev_per_atom=138 e_tot_ev_per_atom=-2.961 magnetic_moment_mub_per_fu=0.0 polymorph_energy_kj_per_mol_fu=29.4 spacegroup="P2/m (10)" pbc="T T T"
Zn 0.000 0.000 0.000
Hg 1.441 0.000 2.639
P 0.090 1.843 4.437
P 2.792 1.843 0.840

=====

# 3
4
Lattice="3.705 0.000 0.000 0.000 3.896 0.000 0.000 0.000 5.072" Properties=species:S:1:pos:R:3 comment="Zn2HgP, optimized geometry, DFT PBE" formation_energy_mev_per_atom=300 e_tot_ev_per_atom=-1.765 magnetic_moment_mub_per_fu=0.0 spacegroup="Pmmm (47)" pbc="T T T"
Zn 0.000 0.000 0.000
Zn 0.000 1.948 2.536
Hg 1.852 0.000 2.536
P 1.852 1.948 0.000

=====

# 4
8
Lattice="5.774 0.000 0.000 0.000 7.276 0.000 0.000 0.000 4.150" Properties=species:S:1:pos:R:3 comment="ZnHg2P, optimized geometry, DFT PBE" formation_energy_mev_per_atom=289 e_tot_ev_per_atom=-1.533 magnetic_moment_mub_per_fu=0.0 polymorph_energy_kj_per_mol_fu=96.1 spacegroup="Cmmm (65)" pbc="T T T"
Zn 0.000 0.000 0.000
Zn 2.887 3.638 0.000
Hg 0.000 1.880 2.075
Hg 0.000 5.396 2.075
Hg 2.887 1.758 2.075
Hg 2.887 5.518 2.075
P 0.000 3.638 0.000
P 2.887 0.000 0.000

=====

# 5
4
Lattice="4.671 0.000 0.000 0.000 4.671 0.000 0.000 0.000 3.305" Properties=species:S:1:pos:R:3 comment="ZnHgP2, optimized geometry, DFT PBE" formation_energy_mev_per_atom=667 e_tot_ev_per_atom=-2.432 magnetic_moment_mub_per_fu=0.0 polymorph_energy_kj_per_mol_fu=233.7 spacegroup="P4/mmm (123)" pbc="T T T"
Zn 0.000 0.000 0.000
Hg 2.335 2.335 0.000
P 0.000 2.335 1.653
P 2.335 0.000 1.653

=====

# 6
12
Lattice="4.040 0.000 0.000 -2.020 3.499 0.000 0.000 0.000 18.527" Properties=species:S:1:pos:R:3 comment="ZnHg2P, optimized geometry, DFT PBE" formation_energy_mev_per_atom=303 e_tot_ev_per_atom=-1.519 magnetic_moment_mub_per_fu=0.0 polymorph_energy_kj_per_mol_fu=101.3 spacegroup="R-3m (166)" pbc="T T T"
Zn 0.000 0.000 0.000
Zn 0.000 2.332 12.351
Zn 2.020 1.166 6.176
Hg 0.000 0.000 4.526
Hg 0.000 0.000 14.001
Hg 0.000 2.332 7.825
Hg 0.000 2.332 16.877
Hg 2.020 1.166 1.650
Hg 2.020 1.166 10.701
P 0.000 0.000 9.263
P 0.000 2.332 3.088
P 2.020 1.166 15.439